First-principles (GGA-PBE) data for an optimized crystal structure of Pm2PbSe, as listed in Alexandria.

The structure in extended XYZ format:
```
4
Lattice="3.6102 0.0000 0.0000 0.0000 3.6102 0.0000 0.0000 0.0000 8.2419" Properties=species:S:1:pos:R:3 pbc="T T T"
Pb 1.8051 1.8051 4.1209
Pm 0.0000 0.0000 1.8575
Pm 0.0000 0.0000 6.3843
Se 1.8051 1.8051 0.0000
```

Computed properties:
DOS at the Fermi energy: 3.64 states/eV/f.u.
Energy relative to the elements, uncorrected: -1.0466 eV/atom
Calculated volume: 107.4 Å³ per cell
DFT total energy: -5.220 eV/atom
Symmetry: P4/mmm, No. 123
Energy above the most stable polymorph in this dataset: 49 kJ/mol of formula units